(1)
The following is a PBE-GGA calculation of crystalline TbEuYIn at its relaxed geometry, from the Alexandria database.

Computed properties:
Uncorrected energy   -6.16 eV/atom
E_form   -0.1325 eV per atom
Spin magnetization   30.14 Bohr magnetons per cell

Structure (CIF):
```
data_TbEuYIn
_cell_length_a 7.812
_cell_length_b 7.812
_cell_length_c 7.812
_cell_angle_alpha 90.00
_cell_angle_beta 90.00
_cell_angle_gamma 90.00
_space_group_name_H-M_alt 'F -4 3 m'
_space_group_IT_number 216
_space_group_name_Hall 'F -4 2 3'
loop_
_atom_site_label
_atom_site_fract_x
_atom_site_fract_y
_atom_site_fract_z
Tb1 0.000 0.000 0.000
Eu1 0.250 0.250 0.750
Y1 0.000 0.000 0.500
In1 0.250 0.250 0.250
```

=====

(2)
The following is a PBE-GGA calculation of crystalline ThZrGa2Ni5 at its relaxed geometry, from the Alexandria database.

Computed properties:
Uncorrected energy   -6.02 eV/atom
E_form   -0.3656 eV per atom
Spin magnetization   0.00 Bohr magnetons per cell

Structure (CIF):
```
data_ThZrGa2Ni5
_cell_length_a 3.956
_cell_length_b 3.956
_cell_length_c 8.801
_cell_angle_alpha 90.00
_cell_angle_beta 90.00
_cell_angle_gamma 90.00
_space_group_name_H-M_alt 'P 4/m m m'
_space_group_IT_number 123
_space_group_name_Hall '-P 4 2'
loop_
_atom_site_label
_atom_site_fract_x
_atom_site_fract_y
_atom_site_fract_z
Th1 0.000 0.000 0.000
Zr1 0.000 0.000 0.500
Ga1 0.500 0.500 0.364
Ni1 0.000 0.500 0.219
Ni2 0.500 0.500 0.000
```

=====

(3)
The following is a PBE-GGA calculation of crystalline Ba3Pm4O9 at its relaxed geometry, from the Alexandria database.

Computed properties:
Uncorrected energy   -7.38 eV/atom
Spin magnetization   0.00 Bohr magnetons per cell

Structure (CIF):
```
data_Ba3Pm4O9
_cell_length_a 6.2932
_cell_length_b 6.2932
_cell_length_c 26.5085
_cell_angle_alpha 90.00
_cell_angle_beta 90.00
_cell_angle_gamma 120.00
_space_group_name_H-M_alt 'R 3'
_space_group_IT_number 146
_space_group_name_Hall 'R 3'
loop_
_atom_site_label
_atom_site_fract_x
_atom_site_fract_y
_atom_site_fract_z
Ba1 0.0000 0.0000 0.0000
Ba2 0.0000 0.0000 0.1692
Ba3 0.0000 0.0000 0.5954
Pm1 0.0000 0.0000 0.3018
Pm2 0.0000 0.0000 0.4290
Pm3 0.0000 0.0000 0.7398
Pm4 0.0000 0.0000 0.8658
O1 0.0027 0.4195 0.5840
O2 0.0116 0.5827 0.0261
O3 0.0876 0.7353 0.4711
```

=====

(4)
The following is a PBE-GGA calculation of crystalline La3TbGa4 at its relaxed geometry, from the Alexandria database.

Computed properties:
Uncorrected energy   -4.52 eV/atom
E_form   -0.5764 eV per atom
Spin magnetization   0.00 Bohr magnetons per cell

Structure (CIF):
```
data_La3TbGa4
_cell_length_a 3.719
_cell_length_b 3.719
_cell_length_c 14.945
_cell_angle_alpha 90.00
_cell_angle_beta 90.00
_cell_angle_gamma 90.00
_space_group_name_H-M_alt 'P 4/m m m'
_space_group_IT_number 123
_space_group_name_Hall '-P 4 2'
loop_
_atom_site_label
_atom_site_fract_x
_atom_site_fract_y
_atom_site_fract_z
La1 0.000 0.000 0.000
La2 0.000 0.000 0.256
Tb1 0.000 0.000 0.500
Ga1 0.500 0.500 0.128
Ga2 0.500 0.500 0.389
```

=====

(5)
The following is a PBE-GGA calculation of crystalline LuNpRuRh at its relaxed geometry, from the Alexandria database.

Computed properties:
Uncorrected energy   -8.94 eV/atom
E_form   -0.4183 eV per atom
Spin magnetization   13.02 Bohr magnetons per cell

Structure (CIF):
```
data_LuNpRuRh
_cell_length_a 6.733
_cell_length_b 6.733
_cell_length_c 6.733
_cell_angle_alpha 90.00
_cell_angle_beta 90.00
_cell_angle_gamma 90.00
_space_group_name_H-M_alt 'F -4 3 m'
_space_group_IT_number 216
_space_group_name_Hall 'F -4 2 3'
loop_
_atom_site_label
_atom_site_fract_x
_atom_site_fract_y
_atom_site_fract_z
Lu1 0.000 0.000 0.000
Np1 0.000 0.000 0.500
Ru1 0.250 0.250 0.750
Rh1 0.250 0.250 0.250
```

=====

(6)
The following is a PBE-GGA calculation of crystalline CuCl2F at its relaxed geometry, from the Alexandria database.

Computed properties:
Uncorrected energy   -2.71 eV/atom
Spin magnetization   0.33 Bohr magnetons per cell

Structure (CIF):
```
data_CuCl2F
_cell_length_a 3.5796
_cell_length_b 3.5796
_cell_length_c 20.7404
_cell_angle_alpha 90.00
_cell_angle_beta 90.00
_cell_angle_gamma 120.00
_space_group_name_H-M_alt 'R -3 m'
_space_group_IT_number 166
_space_group_name_Hall '-R 3 2"'
loop_
_atom_site_label
_atom_site_fract_x
_atom_site_fract_y
_atom_site_fract_z
Cu1 0.0000 0.0000 0.0000
Cl1 0.0000 0.0000 0.3970
F1 0.0000 0.0000 0.5000
```

=====

(7)
The following is a PBE-GGA calculation of crystalline CoIrN2 at its relaxed geometry, from the Alexandria database.

Computed properties:
Uncorrected energy   -7.75 eV/atom
Spin magnetization   0.88 Bohr magnetons per cell

Structure (CIF):
```
data_CoIrN2
_cell_length_a 2.7357
_cell_length_b 2.7357
_cell_length_c 18.3885
_cell_angle_alpha 90.00
_cell_angle_beta 90.00
_cell_angle_gamma 120.00
_space_group_name_H-M_alt 'R -3 m'
_space_group_IT_number 166
_space_group_name_Hall '-R 3 2"'
loop_
_atom_site_label
_atom_site_fract_x
_atom_site_fract_y
_atom_site_fract_z
Co1 0.0000 0.0000 0.0000
Ir1 0.0000 0.0000 0.5000
N1 0.0000 0.0000 0.3939
```

=====

(8)
The following is a PBE-GGA calculation of crystalline GePd2Au2 at its relaxed geometry, from the Alexandria database.

Computed properties:
Uncorrected energy   -4.27 eV/atom
E_form   0.0401 eV per atom
Spin magnetization   0.00 Bohr magnetons per cell

Structure (CIF):
```
data_GePd2Au2
_cell_length_a 6.834
_cell_length_b 6.834
_cell_length_c 3.869
_cell_angle_alpha 90.00
_cell_angle_beta 90.00
_cell_angle_gamma 90.00
_space_group_name_H-M_alt 'P 4/m b m'
_space_group_IT_number 127
_space_group_name_Hall '-P 4 2ab'
loop_
_atom_site_label
_atom_site_fract_x
_atom_site_fract_y
_atom_site_fract_z
Ge1 0.000 0.000 0.000
Pd1 0.152 0.348 0.500
Au1 0.147 0.647 0.000
```

=====

(9)
The following is a PBE-GGA calculation of crystalline Ba2MnAgN at its relaxed geometry, from the Alexandria database.

Computed properties:
Uncorrected energy   -5.12 eV/atom
Spin magnetization   2.71 Bohr magnetons per cell

Structure (CIF):
```
data_Ba2MnAgN
_cell_length_a 5.926
_cell_length_b 5.926
_cell_length_c 3.745
_cell_angle_alpha 90.00
_cell_angle_beta 90.00
_cell_angle_gamma 90.00
_space_group_name_H-M_alt 'P 4/m m m'
_space_group_IT_number 123
_space_group_name_Hall '-P 4 2'
loop_
_atom_site_label
_atom_site_fract_x
_atom_site_fract_y
_atom_site_fract_z
Ba1 0.000 0.500 0.000
Mn1 0.000 0.000 0.500
Ag1 0.500 0.500 0.500
N1 0.000 0.000 0.000
```

=====

(10)
The following is a PBE-GGA calculation of crystalline LaAlSi2 at its relaxed geometry, from the Alexandria database.

Computed properties:
Uncorrected energy   -5.07 eV/atom
Spin magnetization   0.00 Bohr magnetons per cell

Structure (CIF):
```
data_LaAlSi2
_cell_length_a 3.475
_cell_length_b 3.475
_cell_length_c 6.675
_cell_angle_alpha 90.00
_cell_angle_beta 90.00
_cell_angle_gamma 90.00
_space_group_name_H-M_alt 'P 4 m m'
_space_group_IT_number 99
_space_group_name_Hall 'P 4 -2'
loop_
_atom_site_label
_atom_site_fract_x
_atom_site_fract_y
_atom_site_fract_z
La1 0.000 0.000 0.000
Al1 0.500 0.500 0.675
Si1 0.000 0.000 0.474
Si2 0.500 0.500 0.308
```

=====

(11)
The following is a PBE-GGA calculation of crystalline AcMgSb at its relaxed geometry, from the Alexandria database.

Computed properties:
Uncorrected energy   -3.90 eV/atom
Spin magnetization   0.00 Bohr magnetons per cell

Structure (CIF):
```
data_AcMgSb
_cell_length_a 12.610
_cell_length_b 4.912
_cell_length_c 6.511
_cell_angle_alpha 90.00
_cell_angle_beta 90.09
_cell_angle_gamma 90.00
_space_group_name_H-M_alt 'C 1 2/m 1'
_space_group_IT_number 12
_space_group_name_Hall '-C 2y'
loop_
_atom_site_label
_atom_site_fract_x
_atom_site_fract_y
_atom_site_fract_z
Ac1 0.133 0.000 0.250
Mg1 0.063 0.500 0.749
Sb1 0.179 0.000 0.750
```

=====

(12)
The following is a PBE-GGA calculation of crystalline Zr2ZnCl at its relaxed geometry, from the Alexandria database.

Computed properties:
Uncorrected energy   -5.35 eV/atom
Spin magnetization   0.00 Bohr magnetons per cell

Structure (CIF):
```
data_Zr2ZnCl
_cell_length_a 3.193
_cell_length_b 4.227
_cell_length_c 12.188
_cell_angle_alpha 90.00
_cell_angle_beta 90.00
_cell_angle_gamma 90.00
_space_group_name_H-M_alt 'I m m 2'
_space_group_IT_number 44
_space_group_name_Hall 'I 2 -2'
loop_
_atom_site_label
_atom_site_fract_x
_atom_site_fract_y
_atom_site_fract_z
Zr1 0.000 0.000 0.000
Zr2 0.000 0.500 0.275
Zn1 0.000 0.000 0.430
Cl1 0.000 0.500 0.683
```